Here is a geometry-optimized LaY2Mg structure from Alexandria via LeMat-Bulk. Energies are from GGA-PBEsol.

Cell: 3.5432 4.8572 6.8539 Å, 90.00 90.11 90.00°
With the nearest neighbours (Å) after each atom.
Sites, in units of the cell vectors:
La1 0.5000 0.5000 0.0000  2 Mg 3.43, 8 Y 3.48-3.49, 2 La 3.54
Mg1 0.5000 0.5000 0.5000  2 La 3.43, 8 Y 3.43-3.44, 2 Mg 3.54
Y1 0.9988 0.0000 0.7428  4 Y 3.33-3.54, 4 Mg 3.43-3.44, 4 La 3.48-3.49
Y2 0.0012 0.0000 0.2572  4 Y 3.33-3.54, 4 Mg 3.43-3.44, 4 La 3.48-3.49

Computed properties:
energy	-20.609	eV/f.u.
calculated formation energy	0.6	kcal/mol of atoms